First-principles (PBE-GGA) data for a relaxed TaAg2Pd crystal, as listed in Alexandria.

Magnetic moment ... 0.00 μB per formula unit
Formation energy ... 0.30 eV per atom
Symmetry ... Fm-3m, No. 225
Energy above the most stable polymorph in this dataset ... 0.0 kJ/mol of atoms

Lattice parameters (Å, degrees): 4.573 4.573 4.573 60.00 60.00 60.00
Sites, in units of the cell vectors:
Ta  0.000  0.000  0.000
Ag  0.250  0.250  0.250
Ag  0.750  0.750  0.750
Pd  0.500  0.500  0.500